Record 1
GeB4O7 | PBE | optimized geometry

a b c (Å): 4.256 4.448 10.835
angles (deg): 90.00 90.00 90.00
Element x y z (fractional)
Ge 0.706 0.832 0.500
Ge 0.206 0.168 0.000
B 0.590 0.672 0.877
B 0.057 0.827 0.249
B 0.557 0.173 0.251
B 0.090 0.328 0.623
B 0.090 0.328 0.377
B 0.590 0.672 0.123
B 0.057 0.827 0.751
B 0.557 0.173 0.749
O 0.918 0.719 0.140
O 0.418 0.281 0.360
O 0.507 0.353 0.863
O 0.007 0.647 0.637
O 0.007 0.647 0.363
O 0.507 0.353 0.137
O 0.412 0.867 0.780
O 0.912 0.133 0.720
O 0.912 0.133 0.280
O 0.412 0.867 0.220
O 0.482 0.780 0.000
O 0.982 0.220 0.500
O 0.918 0.719 0.860
O 0.418 0.281 0.640

crystal system = orthorhombic
space group = No. 31
uncorrected formation energy = -2504 kJ/mol of formula units
VASP energy = -0.2817 Ha/atom
DOS at the Fermi energy = 0.00 states/eV/cell
total moment = 0.00 μB/f.u.

Record 2
GeB2O | PBE | optimized geometry

a b c (Å): 4.315 4.315 5.316
angles (deg): 66.05 66.05 90.00
Element x y z (fractional)
Ge 0.000 0.000 0.000
Ge 0.750 0.250 0.500
B 0.563 0.125 0.250
B 0.187 0.625 0.250
B 0.375 0.437 0.750
B 0.875 0.813 0.750
O 0.500 0.500 0.000
O 0.250 0.750 0.500

crystal system = tetragonal
space group = No. 122
uncorrected formation energy = 43 kJ/mol of formula units
VASP energy = -0.2066 Ha/atom
DOS at the Fermi energy = 0.00 states/eV/cell
energy relative to the lowest polymorph listed for this composition = 0.000 eV/f.u.
total moment = 0.00 μB/f.u.

Record 3
GeB2O | PBE | optimized geometry

a b c (Å): 3.841 3.841 3.841
angles (deg): 60.00 60.00 60.00
Element x y z (fractional)
Ge 0.500 0.500 0.500
B 0.250 0.250 0.250
B 0.750 0.750 0.750
O 0.000 0.000 0.000

crystal system = cubic
space group = No. 225
uncorrected formation energy = 615 kJ/mol of formula units
VASP energy = -0.1521 Ha/atom
DOS at the Fermi energy = 1.43 states/eV/cell
energy relative to the lowest polymorph listed for this composition = 5.930 eV/f.u.
total moment = 0.00 μB/f.u.

Record 4
Ge2BO | PBE | optimized geometry

a b c (Å): 4.741 4.741 6.029
angles (deg): 66.85 66.85 90.00
Element x y z (fractional)
Ge 0.611 0.125 0.250
Ge 0.139 0.625 0.250
Ge 0.375 0.389 0.750
Ge 0.875 0.861 0.750
B 0.500 0.500 0.000
B 0.250 0.750 0.500
O 0.000 0.000 0.000
O 0.750 0.250 0.500

crystal system = tetragonal
space group = No. 122
uncorrected formation energy = -62 kJ/mol of formula units
VASP energy = -0.1977 Ha/atom
DOS at the Fermi energy = 3.60 states/eV/cell
total moment = 0.00 μB/f.u.

Record 5
GeB2O4 | PBE | optimized geometry

a b c (Å): 4.741 4.741 4.741
angles (deg): 100.65 100.65 129.07
Element x y z (fractional)
Ge 0.500 0.500 0.000
B 0.250 0.750 0.500
B 0.750 0.250 0.500
O 0.386 0.140 0.526
O 0.860 0.386 0.247
O 0.140 0.614 0.753
O 0.614 0.860 0.474

crystal system = tetragonal
space group = No. 87
uncorrected formation energy = -1205 kJ/mol of formula units
VASP energy = -0.2640 Ha/atom
DOS at the Fermi energy = 0.00 states/eV/cell
total moment = 0.00 μB/f.u.

Record 6
GeBO3 | PBE | optimized geometry

a b c (Å): 3.405 3.405 3.405
angles (deg): 90.00 90.00 90.00
Element x y z (fractional)
Ge 0.000 0.000 0.000
B 0.500 0.500 0.500
O 0.500 0.500 0.000
O 0.500 0.000 0.500
O 0.000 0.500 0.500

crystal system = cubic
space group = No. 221
uncorrected formation energy = -286 kJ/mol of formula units
VASP energy = -0.2141 Ha/atom
DOS at the Fermi energy = 2.85 states/eV/cell
total moment = 0.00 μB/f.u.

Record 7
GeBP2O | PBE | optimized geometry

a b c (Å): 5.390 5.390 2.592
angles (deg): 90.00 90.00 90.00
Element x y z (fractional)
P 0.000 0.500 0.000
P 0.500 0.000 0.000
Ge 0.500 0.500 0.500
B 0.000 0.000 0.000
O 0.000 0.000 0.500

crystal system = tetragonal
space group = No. 123
uncorrected formation energy = 60 kJ/mol of formula units
VASP energy = -0.1944 Ha/atom
DOS at the Fermi energy = 2.25 states/eV/cell
energy relative to the lowest polymorph listed for this composition = 0.000 eV/f.u.
total moment = 0.00 μB/f.u.

Record 8
GeBP2O | PBE | optimized geometry

a b c (Å): 4.802 4.802 3.504
angles (deg): 90.00 90.00 90.00
Element x y z (fractional)
P 0.000 0.500 0.000
P 0.500 0.000 0.000
Ge 0.000 0.000 0.000
B 0.500 0.500 0.500
O 0.000 0.000 0.500

crystal system = tetragonal
space group = No. 123
uncorrected formation energy = 549 kJ/mol of formula units
VASP energy = -0.1572 Ha/atom
DOS at the Fermi energy = 3.18 states/eV/cell
energy relative to the lowest polymorph listed for this composition = 5.061 eV/f.u.
total moment = 0.00 μB/f.u.

Record 9
GeBPO2 | PBE | optimized geometry

a b c (Å): 3.446 3.446 5.930
angles (deg): 90.00 90.00 90.00
Element x y z (fractional)
P 0.000 0.000 0.500
Ge 0.000 0.000 0.000
B 0.500 0.500 0.500
O 0.000 0.500 0.000
O 0.500 0.000 0.000

crystal system = tetragonal
space group = No. 123
uncorrected formation energy = 142 kJ/mol of formula units
VASP energy = -0.1849 Ha/atom
DOS at the Fermi energy = 1.79 states/eV/cell
energy relative to the lowest polymorph listed for this composition = 1.704 eV/f.u.
total moment = 0.15 μB/f.u.

Record 10
GeBPO2 | PBE | optimized geometry

a b c (Å): 3.213 3.213 6.398
angles (deg): 90.00 90.00 90.00
Element x y z (fractional)
P 0.000 0.000 0.500
Ge 0.500 0.500 0.500
B 0.000 0.000 0.000
O 0.000 0.500 0.000
O 0.500 0.000 0.000

crystal system = tetragonal
space group = No. 123
uncorrected formation energy = -23 kJ/mol of formula units
VASP energy = -0.1974 Ha/atom
DOS at the Fermi energy = 3.12 states/eV/cell
energy relative to the lowest polymorph listed for this composition = 0.000 eV/f.u.
total moment = 0.00 μB/f.u.

Record 11
PaGe2BO8 | PBE | optimized geometry

a b c (Å): 5.238 5.238 5.923
angles (deg): 90.00 90.00 120.00
Element x y z (fractional)
Pa 0.000 0.000 0.500
Ge 0.333 0.667 0.751
Ge 0.667 0.333 0.249
B 0.000 0.000 0.000
O 0.145 0.290 0.821
O 0.145 0.855 0.821
O 0.710 0.855 0.821
O 0.290 0.145 0.179
O 0.667 0.333 0.542
O 0.333 0.667 0.458
O 0.855 0.710 0.179
O 0.855 0.145 0.179

crystal system = trigonal
space group = No. 164
uncorrected formation energy = -2064 kJ/mol of formula units
VASP energy = -0.2648 Ha/atom
DOS at the Fermi energy = 0.00 states/eV/cell
total moment = 0.00 μB/f.u.

Record 12
Ge2BPbO6 | PBE | optimized geometry

a b c (Å): 6.534 7.102 7.102
angles (deg): 82.61 65.20 65.20
Element x y z (fractional)
Ge 0.393 0.766 0.631
Ge 0.107 0.369 0.234
Ge 0.607 0.234 0.369
Ge 0.893 0.631 0.766
B 0.250 0.191 0.809
B 0.750 0.809 0.191
Pb 0.250 0.829 0.171
Pb 0.750 0.171 0.829
O 0.209 0.999 0.804
O 0.291 0.196 0.001
O 0.791 0.001 0.196
O 0.709 0.804 0.999
O 0.518 0.823 0.364
O 0.982 0.636 0.177
O 0.482 0.177 0.636
O 0.018 0.364 0.823
O 0.129 0.731 0.615
O 0.371 0.385 0.269
O 0.871 0.269 0.385
O 0.629 0.615 0.731

crystal system = monoclinic
space group = No. 15
uncorrected formation energy = -1517 kJ/mol of formula units
VASP energy = -0.2392 Ha/atom
DOS at the Fermi energy = 1.98 states/eV/cell
total moment = 0.00 μB/f.u.

Record 13
GeB2PtO | PBE | optimized geometry

a b c (Å): 3.487 5.978 3.487
angles (deg): 90.00 90.00 90.00
Element x y z (fractional)
Ge 0.500 0.500 0.500
B 0.000 0.000 0.500
B 0.500 0.000 0.000
O 0.000 0.000 0.000
Pt 0.000 0.500 0.000

crystal system = tetragonal
space group = No. 123
uncorrected formation energy = 613 kJ/mol of formula units
VASP energy = -0.1663 Ha/atom
DOS at the Fermi energy = 1.97 states/eV/cell
total moment = 0.00 μB/f.u.

Record 14
Rb2GeB2O6 | PBE | optimized geometry

a b c (Å): 5.089 5.097 7.061
angles (deg): 110.81 90.00 119.95
Element x y z (fractional)
Rb 0.709 0.417 0.129
Rb 0.291 0.583 0.871
Ge 0.500 0.000 0.500
B 0.889 0.778 0.661
B 0.111 0.222 0.339
O 0.736 0.471 0.672
O 0.262 0.051 0.321
O 0.210 0.949 0.679
O 0.738 0.949 0.679
O 0.790 0.051 0.321
O 0.264 0.529 0.328

crystal system = monoclinic
space group = No. 12
uncorrected formation energy = -2118 kJ/mol of formula units
VASP energy = -0.2392 Ha/atom
DOS at the Fermi energy = 0.00 states/eV/cell
total moment = 0.00 μB/f.u.

Record 15
Rb2GeB4O9 | PBE | optimized geometry

a b c (Å): 6.750 9.983 13.564
angles (deg): 90.00 90.22 90.00
Element x y z (fractional)
Rb 0.784 0.631 0.117
Rb 0.216 0.131 0.883
Rb 0.262 0.343 0.125
Rb 0.738 0.843 0.875
Rb 0.774 0.846 0.368
Rb 0.226 0.346 0.632
Rb 0.704 0.565 0.626
Rb 0.296 0.065 0.374
Ge 0.258 0.852 0.131
Ge 0.742 0.352 0.869
Ge 0.756 0.341 0.384
Ge 0.244 0.841 0.616
B 0.601 0.017 0.162
B 0.399 0.517 0.838
B 0.340 0.677 0.455
B 0.660 0.177 0.545
B 0.929 0.019 0.094
B 0.071 0.519 0.906
B 0.196 0.677 0.295
B 0.804 0.177 0.705
B 0.493 0.539 0.327
B 0.507 0.039 0.673
B 0.668 0.156 0.016
B 0.332 0.656 0.984
B 0.955 0.038 0.577
B 0.045 0.538 0.423
B 0.861 0.152 0.244
B 0.139 0.652 0.756
O 0.927 0.246 0.313
O 0.073 0.746 0.687
O 0.404 0.753 0.048
O 0.596 0.253 0.952
O 0.587 0.257 0.460
O 0.413 0.757 0.540
O 0.916 0.440 0.460
O 0.084 0.940 0.540
O 0.097 0.943 0.054
O 0.903 0.443 0.946
O 0.616 0.434 0.296
O 0.384 0.934 0.704
O 0.114 0.756 0.213
O 0.886 0.256 0.787
O 0.437 0.939 0.201
O 0.563 0.439 0.799
O 0.766 0.935 0.127
O 0.234 0.435 0.873
O 0.267 0.759 0.376
O 0.733 0.259 0.624
O 0.514 0.593 0.420
O 0.486 0.093 0.580
O 0.026 0.588 0.330
O 0.974 0.088 0.670
O 0.184 0.580 0.490
O 0.816 0.080 0.510
O 0.670 0.105 0.247
O 0.330 0.605 0.753
O 0.000 0.110 0.177
O 0.000 0.610 0.823
O 0.357 0.583 0.259
O 0.643 0.083 0.741
O 0.530 0.110 0.082
O 0.470 0.610 0.918
O 0.860 0.110 0.011
O 0.140 0.610 0.989

crystal system = monoclinic
space group = No. 4
uncorrected formation energy = -3495 kJ/mol of formula units
VASP energy = -0.2621 Ha/atom
DOS at the Fermi energy = 0.00 states/eV/cell
total moment = 0.06 μB/f.u.

Record 16
RbGeB3O7 | PBE | optimized geometry

a b c (Å): 7.054 9.536 9.799
angles (deg): 90.00 90.00 90.00
Element x y z (fractional)
Rb 0.755 0.520 0.175
Rb 0.255 0.480 0.825
Rb 0.255 0.980 0.675
Rb 0.755 0.020 0.325
Ge 0.271 0.761 0.102
Ge 0.771 0.239 0.898
Ge 0.771 0.739 0.602
Ge 0.271 0.261 0.398
B 0.304 0.532 0.280
B 0.804 0.468 0.720
B 0.804 0.968 0.780
B 0.304 0.032 0.220
B 0.898 0.822 0.983
B 0.398 0.178 0.017
B 0.398 0.678 0.483
B 0.898 0.322 0.517
B 0.566 0.844 0.927
B 0.066 0.156 0.073
B 0.066 0.656 0.427
B 0.566 0.344 0.573
O 0.608 0.931 0.821
O 0.108 0.069 0.179
O 0.108 0.569 0.321
O 0.608 0.431 0.679
O 0.706 0.793 0.014
O 0.206 0.207 0.986
O 0.206 0.707 0.514
O 0.706 0.293 0.486
O 0.445 0.589 0.380
O 0.945 0.411 0.620
O 0.945 0.911 0.880
O 0.445 0.089 0.120
O 0.023 0.752 0.066
O 0.523 0.248 0.934
O 0.523 0.748 0.566
O 0.023 0.252 0.434
O 0.379 0.804 0.942
O 0.879 0.196 0.058
O 0.879 0.696 0.442
O 0.379 0.304 0.558
O 0.344 0.590 0.142
O 0.844 0.410 0.858
O 0.844 0.910 0.642
O 0.344 0.090 0.358
O 0.327 0.879 0.233
O 0.827 0.121 0.767
O 0.827 0.621 0.733
O 0.327 0.379 0.267

crystal system = orthorhombic
space group = No. 33
uncorrected formation energy = -2590 kJ/mol of formula units
VASP energy = -0.2670 Ha/atom
DOS at the Fermi energy = 0.00 states/eV/cell
total moment = 0.00 μB/f.u.

Record 17
RbGe2BO6 | PBE | optimized geometry

a b c (Å): 5.818 7.307 7.307
angles (deg): 96.99 73.77 73.77
Element x y z (fractional)
Rb 0.250 0.840 0.160
Rb 0.750 0.160 0.840
Ge 0.405 0.823 0.647
Ge 0.095 0.353 0.177
Ge 0.595 0.177 0.353
Ge 0.905 0.647 0.823
B 0.250 0.276 0.724
B 0.750 0.724 0.276
O 0.255 0.073 0.667
O 0.245 0.333 0.927
O 0.745 0.927 0.333
O 0.755 0.667 0.073
O 0.518 0.695 0.404
O 0.982 0.596 0.305
O 0.482 0.305 0.596
O 0.018 0.404 0.695
O 0.136 0.769 0.795
O 0.364 0.205 0.231
O 0.864 0.231 0.205
O 0.636 0.795 0.769

crystal system = monoclinic
space group = No. 15
uncorrected formation energy = -1782 kJ/mol of formula units
VASP energy = -0.2392 Ha/atom
DOS at the Fermi energy = 0.00 states/eV/cell
total moment = 0.00 μB/f.u.

Record 18
GeBSO2 | PBE | optimized geometry

a b c (Å): 3.246 6.843 3.246
angles (deg): 90.00 90.00 90.00
Element x y z (fractional)
Ge 0.000 0.500 0.000
B 0.000 0.000 0.000
S 0.500 0.500 0.500
O 0.000 0.000 0.500
O 0.500 0.000 0.000

crystal system = tetragonal
space group = No. 123
uncorrected formation energy = -49 kJ/mol of formula units
VASP energy = -0.1900 Ha/atom
DOS at the Fermi energy = 1.95 states/eV/cell
total moment = 0.00 μB/f.u.

Record 19
Ge2BSbO | PBE | optimized geometry

a b c (Å): 5.284 2.945 5.284
angles (deg): 90.00 90.00 90.00
Element x y z (fractional)
Sb 0.500 0.500 0.500
Ge 0.000 0.000 0.500
Ge 0.500 0.000 0.000
B 0.000 0.000 0.000
O 0.000 0.500 0.000

crystal system = tetragonal
space group = No. 123
uncorrected formation energy = 61 kJ/mol of formula units
VASP energy = -0.1790 Ha/atom
DOS at the Fermi energy = 1.75 states/eV/cell
total moment = 0.00 μB/f.u.